# Ce2Ga10Pd GGA-PBE relaxed
# Density = 7.097 g/cm³
# VASP energy = -4.1041 eV/atom
# Total magnetization = 3.3 Bohr magnetons per cell
# Formation energy from the elements = -0.46 eV per atom
data_Ce2Ga10Pd
_chemical_formula_sum 'Ce4 Ga20 Pd2'
_symmetry_space_group_name_H-M 'I 4/m m m'
_symmetry_Int_Tables_number 139
_symmetry_space_group_name_Hall '-I 4 2'
_cell_length_a 4.4063
_cell_length_b 4.4063
_cell_length_c 26.1257
_cell_angle_alpha 90.00
_cell_angle_beta 90.00
_cell_angle_gamma 90.00
loop_
_atom_site_label
_atom_site_type_symbol
_atom_site_fract_x
_atom_site_fract_y
_atom_site_fract_z
Ce1 Ce 0.0000 0.0000 0.1441
Ga1 Ga 0.0000 0.0000 0.3023
Ga2 Ga 0.0000 0.0000 0.3944
Ga3 Ga 0.0000 0.5000 0.0521
Ga4 Ga 0.0000 0.5000 0.2500
Pd1 Pd 0.0000 0.0000 0.0000

# Ce2Ga3Pd2 GGA-PBE relaxed
# Polymorph energy (0 for the lowest one) = 0.019 eV/atom
# Density = 8.366 g/cm³
# VASP energy = -5.1765 eV/atom
# Total magnetization = 2.5 Bohr magnetons per cell
# Formation energy from the elements = -0.70 eV per atom
data_Ce2Ga3Pd2
_chemical_formula_sum 'Ce4 Ga6 Pd4'
_symmetry_space_group_name_H-M 'C 1 2/m 1'
_symmetry_Int_Tables_number 12
_cell_length_a 10.1458
_cell_length_b 4.4578
_cell_length_c 6.6894
_cell_angle_alpha 90.00
_cell_angle_beta 112.86
_cell_angle_gamma 90.00
loop_
_symmetry_equiv_pos_as_xyz
'x,y,z'
'-x,-y,-z'
'-x,y,-z'
'x,-y,z'
'x+1/2,y+1/2,z'
'-x+1/2,-y+1/2,-z'
'-x+1/2,y+1/2,-z'
'x+1/2,-y+1/2,z'
loop_
_atom_site_label
_atom_site_type_symbol
_atom_site_fract_x
_atom_site_fract_y
_atom_site_fract_z
Ce1 Ce 0.1513 0.0000 0.2755
Ga1 Ga 0.0000 0.5000 0.5000
Ga2 Ga 0.1104 0.5000 0.9342
Pd1 Pd 0.1394 0.0000 0.7275

# Ce3Ga2Pd3 GGA-PBE relaxed
# Polymorph energy (0 for the lowest one) = 0.010 eV/atom
# Density = 8.342 g/cm³
# VASP energy = -5.6392 eV/atom
# Total magnetization = 9.8 Bohr magnetons per cell
# Formation energy from the elements = -0.71 eV per atom
data_Ce3Ga2Pd3
_chemical_formula_sum 'Ce12 Ga8 Pd12'
_symmetry_space_group_name_H-M 'P n m a'
_symmetry_Int_Tables_number 62
_cell_length_a 7.8640
_cell_length_b 15.4281
_cell_length_c 5.7692
_cell_angle_alpha 90.00
_cell_angle_beta 90.00
_cell_angle_gamma 90.00
loop_
_symmetry_equiv_pos_as_xyz
'x,y,z'
'-x,-y,-z'
'-x+1/2,-y,z+1/2'
'x+1/2,y,-z+1/2'
'x+1/2,-y+1/2,-z+1/2'
'-x+1/2,y+1/2,z+1/2'
'-x,y+1/2,-z'
'x,-y+1/2,z'
loop_
_atom_site_label
_atom_site_type_symbol
_atom_site_fract_x
_atom_site_fract_y
_atom_site_fract_z
Ce1 Ce 0.0374 0.1056 0.1491
Ce2 Ce 0.1684 0.2500 0.6193
Ga1 Ga 0.1161 0.6071 0.3478
Pd1 Pd 0.1756 0.0333 0.5835
Pd2 Pd 0.1905 0.7500 0.6135

# CeGa3Pd2 GGA-PBE relaxed
# Polymorph energy (0 for the lowest one) = 0.000 eV/atom
# Density = 8.583 g/cm³
# VASP energy = -4.9543 eV/atom
# Total magnetization = 0.5 Bohr magnetons per cell
# Formation energy from the elements = -0.72 eV per atom
data_CeGa3Pd2
_chemical_formula_sum 'Ce1 Ga3 Pd2'
_symmetry_space_group_name_H-M 'P 6/m m m'
_symmetry_Int_Tables_number 191
_symmetry_space_group_name_Hall '-P 6 2'
_cell_length_a 5.3982
_cell_length_b 5.3982
_cell_length_c 4.3095
_cell_angle_alpha 90.00
_cell_angle_beta 90.00
_cell_angle_gamma 120.00
loop_
_atom_site_label
_atom_site_type_symbol
_atom_site_fract_x
_atom_site_fract_y
_atom_site_fract_z
Ce1 Ce 0.0000 0.0000 0.0000
Ga1 Ga 0.0000 0.5000 0.5000
Pd1 Pd 0.3333 0.6667 0.0000